# 1
A plane-wave DFT calculation with PBE-GGA was carried out for a relaxed YSiAg crystal.

abc: 5.5695 5.5695 5.8077
angles: 90.00 90.00 137.26
Fractional coordinates of all 6 atoms:
Y 0.1980 0.8020 0.7500
Y 0.8020 0.1980 0.2500
Si 0.1014 0.8986 0.2500
Si 0.8986 0.1014 0.7500
Ag 0.5000 0.5000 0.0000
Ag 0.5000 0.5000 0.5000

Summary:
Energy relative to the elements, uncorrected (eV/atom): -0.439
Total moment (μB/f.u.): 0.0
Space group: Cmcm, No. 63
Crystal system: orthorhombic
Calculated volume (Å³/f.u.): 61.1

# 2
A plane-wave DFT calculation with PBE-GGA was carried out for a relaxed YSiAg3 crystal.

abc: 5.3893 5.3893 5.3893
angles: 90.00 90.00 90.00
Fractional coordinates of all 5 atoms:
Y 0.0000 0.0000 0.0000
Si 0.5000 0.5000 0.5000
Ag 0.0000 0.0000 0.5000
Ag 0.0000 0.5000 0.0000
Ag 0.5000 0.0000 0.0000

Summary:
Energy relative to the elements, uncorrected (eV/atom): 1.319
Offset from the most stable computed form (meV per atom): 1228
Total moment (μB/f.u.): 0.0
Space group: Pm-3m, No. 221
Crystal system: cubic
Calculated volume (Å³/f.u.): 156.5